The following is a PBEsol calculation of Ca3TcSn after structural relaxation, from the Alexandria database.

a b c (Å): 5.7828 5.7828 5.7828
angles (deg): 90.00 90.00 90.00
Last column: nearest neighbours and their distance in Å.
Atoms (fractional coordinates):
1 Sn 0.0000 0.0000 0.0000  6 Ca 2.89
2 Ca 0.5000 0.0000 0.0000  2 Sn 2.89
3 Ca 0.0000 0.0000 0.5000  2 Sn 2.89
4 Ca 0.0000 0.5000 0.0000  2 Sn 2.89
5 Tc 0.5000 0.5000 0.5000  12 Ca 4.09

- ΔH_f (0 K): 0.897 eV/atom
- Raw total energy: -3.49 eV/atom
- SG: Pm-3m

***

The following is a PBEsol calculation of NaIn2CBr after structural relaxation, from the Alexandria database.

a b c (Å): 4.3512 5.7456 5.7456
angles (deg): 90.00 90.00 90.00
Last column: nearest neighbours and their distance in Å.
Atoms (fractional coordinates):
1 In 0.0000 0.5000 0.0000  2 Na 2.87
2 In 0.0000 0.0000 0.5000  2 Na 2.87
3 C 0.5000 0.0000 0.0000  2 Na 2.18
4 Br 0.5000 0.5000 0.5000  8 In 3.60
5 Na 0.0000 0.0000 0.0000  2 C 2.18

- Raw total energy: -2.56 eV/atom
- SG: P4/mmm
- Formation energy (no corrections): 1216 meV/atom